Entry 1:
An optimized crystal structure of Cu6Pt. Source: the Alexandria database, functional PBE.

Cell lengths 5.4577, 5.4577, 5.4577 Å; angles 109.47, 109.47, 109.47 degrees
With the nearest neighbours (Å) after each atom.
Atoms (fractional coordinates):
Cu1 0.7500 0.5000 0.2500  4 Cu 2.23
Cu2 0.2500 0.7500 0.5000  4 Cu 2.23
Cu3 0.2500 0.5000 0.7500  4 Cu 2.23
Cu4 0.5000 0.7500 0.2500  4 Cu 2.23
Cu5 0.7500 0.2500 0.5000  4 Cu 2.23
Cu6 0.5000 0.2500 0.7500  4 Cu 2.23
Pt1 0.0000 0.0000 0.0000  24 Cu 3.52

Output
- Distance to the lowest polymorph of the same formula: 1132 meV/atom
- Symmetry: Im-3m, No. 229

---

Entry 2:
An optimized crystal structure of InHgOs2. Source: the Alexandria database, functional PBE.

Cell lengths 4.8816, 4.8816, 5.2027 Å; angles 79.27, 79.27, 35.18 degrees
With the nearest neighbours (Å) after each atom.
Atoms (fractional coordinates):
Hg1 0.2500 0.2500 0.2500  6 Os 2.93-2.94, 2 Hg 2.95, 4 In 2.99
Os1 0.4950 0.4950 0.5314  4 Os 2.73-2.95, 3 In 2.77-2.82, 3 Hg 2.93-2.94
Os2 0.0050 0.0050 0.9686  4 Os 2.73-2.95, 3 In 2.77-2.82, 3 Hg 2.93-2.94
In1 0.7500 0.7500 0.7500  6 Os 2.77-2.82, 2 In 2.95, 4 Hg 2.99

Output
- Distance to the lowest polymorph of the same formula: 446 meV/atom
- Symmetry: C2/m, No. 12

---

Entry 3:
An optimized crystal structure of La5PrTm2Sc. Source: the Alexandria database, functional PBE.

Cell lengths 5.4366, 11.3094, 10.4782 Å; angles 90.00, 90.00, 103.91 degrees
With the nearest neighbours (Å) after each atom.
Atoms (fractional coordinates):
La1 0.3726 0.7453 0.0070  1 Sc 3.53, 6 La 3.79-3.95, 4 Tm 3.81-3.83
La2 0.4986 0.9973 0.2552  2 Pr 3.42-3.44, 4 Tm 3.70-3.72, 5 La 3.77-3.80
La3 0.7243 0.4485 0.8251  2 La 3.26, 1 Pr 3.31, 3 Sc 3.36-3.57, 3 Tm 3.65-3.66
La4 0.0026 0.0052 0.5064  2 Pr 3.54, 4 Tm 3.61-3.68, 6 La 3.77-3.86
La5 0.9974 0.9948 0.0064  2 Pr 3.54, 4 Tm 3.61-3.68, 6 La 3.77-3.86
La6 0.5014 0.0027 0.7552  2 Pr 3.42-3.44, 4 Tm 3.70-3.72, 5 La 3.77-3.80
La7 0.2757 0.5515 0.3251  2 La 3.26, 1 Pr 3.31, 3 Sc 3.36-3.57, 3 Tm 3.65-3.66
La8 0.2809 0.5619 0.7001  2 La 3.26, 1 Pr 3.30, 3 Sc 3.36-3.60, 3 Tm 3.62-3.65
La9 0.6274 0.2547 0.5070  1 Sc 3.53, 6 La 3.79-3.95, 4 Tm 3.81-3.83
La10 0.7191 0.4381 0.2001  2 La 3.26, 1 Pr 3.30, 3 Sc 3.36-3.60, 3 Tm 3.62-3.65
Tm1 0.8868 0.7737 0.7513  1 Sc 3.31, 7 La 3.61-3.70
Tm2 0.8828 0.7655 0.2610  1 Sc 3.35, 7 La 3.65-3.72
Tm3 0.1132 0.2263 0.2513  1 Sc 3.31, 7 La 3.61-3.70
Tm4 0.1172 0.2345 0.7610  1 Sc 3.35, 7 La 3.65-3.72
Sc1 0.7882 0.5763 0.5119  2 Tm 3.31-3.35, 7 La 3.36-3.60, 2 Pr 3.65
Sc2 0.2118 0.4237 0.0119  2 Tm 3.31-3.35, 7 La 3.36-3.60, 2 Pr 3.65
Pr1 0.3992 0.7985 0.5060  6 La 3.30-3.54, 2 Sc 3.65
Pr2 0.6008 0.2015 0.0060  6 La 3.30-3.54, 2 Sc 3.65

Output
- Raw total energy: -4.84 eV per atom
- Symmetry: Cmc2_1, No. 36

---

Entry 4:
An optimized crystal structure of Pm3CdAs. Source: the Alexandria database, functional PBE.

Cell lengths 5.5638, 5.5638, 5.5638 Å; angles 90.00, 90.00, 90.00 degrees
With the nearest neighbours (Å) after each atom.
Atoms (fractional coordinates):
Pm1 0.0000 0.0000 0.5000  2 As 2.78
Pm2 0.0000 0.5000 0.0000  2 As 2.78
Pm3 0.5000 0.0000 0.0000  2 As 2.78
Cd1 0.5000 0.5000 0.5000  12 Pm 3.93
As1 0.0000 0.0000 0.0000  6 Pm 2.78

Output
- Raw total energy: -4.35 eV per atom
- Symmetry: Pm-3m, No. 221

---

Entry 5:
An optimized crystal structure of DyScP. Source: the Alexandria database, functional PBE.

Cell lengths 5.2038, 7.6292, 7.4526 Å; angles 90.00, 90.00, 90.00 degrees
With the nearest neighbours (Å) after each atom.
Atoms (fractional coordinates):
Dy1 0.7500 0.1250 0.3826  2 P 2.72
Dy2 0.7500 0.6250 0.3826  2 P 2.72
Dy3 0.2500 0.8750 0.6174  2 P 2.72
Dy4 0.2500 0.3750 0.6174  2 P 2.72
P1 0.7499 0.3750 0.1216  4 Sc 2.60, 2 Dy 2.72
P2 0.2501 0.6250 0.8784  4 Sc 2.60, 2 Dy 2.72
P3 0.2499 0.1250 0.8784  4 Sc 2.60, 2 Dy 2.72
P4 0.7501 0.8750 0.1216  4 Sc 2.60, 2 Dy 2.72
Sc1 0.7500 0.1249 0.8845  4 P 2.60
Sc2 0.2500 0.8751 0.1155  4 P 2.60
Sc3 0.2500 0.3751 0.1155  4 P 2.60
Sc4 0.7500 0.6249 0.8845  4 P 2.60

Output
- Distance to the lowest polymorph of the same formula: 0 meV/atom
- Symmetry: Pmmn, No. 59

---

Entry 6:
An optimized crystal structure of NaZnHgPb. Source: the Alexandria database, functional PBE.

Cell lengths 5.1967, 5.1967, 5.1967 Å; angles 60.00, 60.00, 60.00 degrees
With the nearest neighbours (Å) after each atom.
Atoms (fractional coordinates):
Zn1 0.0000 0.0000 0.0000  4 Na 3.18, 4 Pb 3.18
Pb1 0.2500 0.2500 0.2500  4 Zn 3.18, 4 Hg 3.18
Hg1 0.5000 0.5000 0.5000  4 Pb 3.18, 4 Na 3.18
Na1 0.7500 0.7500 0.7500  4 Hg 3.18, 4 Zn 3.18

Output
- Raw total energy: -1.67 eV per atom
- Symmetry: F-43m, No. 216

---

Entry 7:
An optimized crystal structure of Cu2Ni5Rh2. Source: the Alexandria database, functional PBE.

Cell lengths 9.5210, 4.5790, 7.0586 Å; angles 100.75, 132.41, 90.00 degrees
With the nearest neighbours (Å) after each atom.
Atoms (fractional coordinates):
Rh1 0.9879 0.9607 0.0621  5 Ni 2.45-2.64, 3 Cu 2.55-2.72, 1 Rh 2.71
Rh2 0.8487 0.8758 0.5670  6 Ni 2.50-2.74, 3 Cu 2.54-2.65, 1 Rh 2.71
Rh3 0.5742 0.4607 0.0621  5 Ni 2.45-2.64, 3 Cu 2.55-2.72, 1 Rh 2.71
Rh4 0.2183 0.3758 0.5670  6 Ni 2.50-2.74, 3 Cu 2.54-2.65, 1 Rh 2.71
Ni1 0.0585 0.8497 0.4715  4 Ni 2.36-2.59, 1 Cu 2.40, 4 Rh 2.50-2.64
Ni2 0.4792 0.5679 0.3116  4 Ni 2.39-2.57, 1 Rh 2.45, 3 Cu 2.45-2.61
Ni3 0.1788 0.7042 0.8915  6 Ni 2.31-2.59, 1 Cu 2.51, 1 Rh 2.59
Ni4 0.7375 0.9354 0.0949  6 Ni 2.36-2.56, 2 Cu 2.44-2.57, 2 Rh 2.55
Ni5 0.9130 0.3497 0.4715  4 Ni 2.36-2.59, 1 Cu 2.40, 4 Rh 2.50-2.64
Ni6 0.2127 0.2042 0.8915  6 Ni 2.31-2.59, 1 Cu 2.51, 1 Rh 2.59
Ni7 0.8574 0.4354 0.0949  6 Ni 2.36-2.56, 2 Cu 2.44-2.57, 2 Rh 2.55
Ni8 0.3324 0.0679 0.3116  4 Ni 2.39-2.57, 1 Rh 2.45, 3 Cu 2.45-2.61
Ni9 0.6451 0.9923 0.6857  6 Ni 2.39-2.55, 2 Cu 2.47-2.52, 2 Rh 2.49-2.60
Ni10 0.5406 0.4923 0.6857  6 Ni 2.39-2.55, 2 Cu 2.47-2.52, 2 Rh 2.49-2.60
Cu1 0.3971 0.9278 0.7141  5 Ni 2.40-2.68, 3 Rh 2.57-2.65, 1 Cu 2.69
Cu2 0.8170 0.4278 0.7141  5 Ni 2.40-2.68, 3 Rh 2.57-2.65, 1 Cu 2.69
Cu3 0.1738 0.5222 0.2016  6 Ni 2.45-2.64, 3 Rh 2.54-2.72, 1 Cu 2.69
Cu4 0.5278 0.0222 0.2016  6 Ni 2.45-2.64, 3 Rh 2.54-2.72, 1 Cu 2.69

Output
- Distance to the lowest polymorph of the same formula: 79 meV/atom
- Symmetry: Cc, No. 9

---

Entry 8:
An optimized crystal structure of TbCuTe2. Source: the Alexandria database, functional PBE.

Cell lengths 4.3721, 4.3721, 6.9176 Å; angles 90.00, 90.00, 120.00 degrees
With the nearest neighbours (Å) after each atom.
Atoms (fractional coordinates):
Te1 0.3334 0.6667 0.7423  1 Cu 2.64
Te2 0.6667 0.3333 0.2658  3 Cu 2.61
Tb1 0.0000 0.0000 0.9897  6 Te 3.05-3.17
Cu1 0.3333 0.6667 0.3602  4 Te 2.61-2.64

Output
- Raw total energy: -4.64 eV per atom
- Symmetry: P3m1, No. 156